Entry P
A plane-wave DFT calculation with GGA-PBE was carried out for Cr3SnW after structural relaxation.

abc: 4.8948 4.8948 4.8948
angles: 90.00 90.00 90.00
With the nearest neighbours (Å) after each atom.
Space group Pm-3m (No. 221)
Asymmetric unit:
Cr: 0.0000 0.0000 0.5000 (multiplicity 3)  2 Sn 2.45
Sn: 0.0000 0.0000 0.0000 (multiplicity 1)  6 Cr 2.45
W: 0.5000 0.5000 0.5000 (multiplicity 1)  12 Cr 3.46

Calculated values
As for the crystal system: cubic. The calculation puts the density at 6.49 g cm⁻³.

---

Entry Q
A plane-wave DFT calculation with GGA-PBE was carried out for Cr3SnW after structural relaxation.

abc: 4.7186 4.7186 4.7186
angles: 90.00 90.00 90.00
With the nearest neighbours (Å) after each atom.
Space group Pm-3m (No. 221)
Asymmetric unit:
Cr: 0.0000 0.0000 0.5000 (multiplicity 3)  2 W 2.36
Sn: 0.5000 0.5000 0.5000 (multiplicity 1)  12 Cr 3.34
W: 0.0000 0.0000 0.0000 (multiplicity 1)  6 Cr 2.36

Calculated values
As for the crystal system: cubic. The calculation puts the density at 7.25 g cm⁻³.

---

Verdict on stability: entry P comes out at the bottom.

---

Entry P
A plane-wave DFT calculation with GGA-PBE was carried out for ZnCrSn2 after structural relaxation.

abc: 6.9726 6.9726 6.9726
angles: 90.00 90.00 90.00
With the nearest neighbours (Å) after each atom.
Space group Fm-3m (No. 225)
Asymmetric unit:
Zn: 0.0000 0.0000 0.0000 (multiplicity 4)  8 Sn 3.02
Cr: 0.0000 0.0000 0.5000 (multiplicity 4)  8 Sn 3.02
Sn: 0.2500 0.2500 0.2500 (multiplicity 8)  4 Cr 3.02, 4 Zn 3.02

Calculated values
As for the crystal system: cubic. The calculation puts the density at 6.95 g cm⁻³.

---

Entry Q
A plane-wave DFT calculation with GGA-PBE was carried out for ZnCrSn2 after structural relaxation.

abc: 7.6510 7.6510 5.7643
angles: 90.00 90.00 90.00
With the nearest neighbours (Å) after each atom.
Space group I-42d (No. 122)
Asymmetric unit:
Zn: 0.0000 0.0000 0.0000 (multiplicity 4)  2 Cr 2.88, 4 Sn 2.95
Cr: 0.0000 0.0000 0.5000 (multiplicity 4)  4 Sn 2.66, 2 Zn 2.88
Sn: 0.2227 0.2500 0.6250 (multiplicity 8)  2 Cr 2.66, 2 Sn 2.91, 2 Zn 2.95

Calculated values
As for the crystal system: tetragonal. The calculation puts the density at 6.98 g cm⁻³.

---

Verdict on stability: entry Q comes out at the bottom.

---

Entry P
A plane-wave DFT calculation with GGA-PBE was carried out for ZrCrSn3 after structural relaxation.

abc: 5.0336 5.0336 5.0336
angles: 90.00 90.00 90.00
With the nearest neighbours (Å) after each atom.
Space group Pm-3m (No. 221)
Asymmetric unit:
Zr: 0.0000 0.0000 0.0000 (multiplicity 1)  12 Sn 3.56
Cr: 0.5000 0.5000 0.5000 (multiplicity 1)  6 Sn 2.52
Sn: 0.0000 0.5000 0.5000 (multiplicity 3)  2 Cr 2.52

Calculated values
As for the crystal system: cubic. The calculation puts the density at 6.50 g cm⁻³.

---

Entry Q
A plane-wave DFT calculation with GGA-PBE was carried out for ZrCrSn3 after structural relaxation.

abc: 5.5297 5.5297 5.5297
angles: 90.00 90.00 90.00
With the nearest neighbours (Å) after each atom.
Space group Pm-3m (No. 221)
Asymmetric unit:
Zr: 0.0000 0.0000 0.0000 (multiplicity 1)  6 Sn 2.76
Cr: 0.5000 0.5000 0.5000 (multiplicity 1)  12 Sn 3.91
Sn: 0.0000 0.0000 0.5000 (multiplicity 3)  2 Zr 2.76

Calculated values
As for the crystal system: cubic. The calculation puts the density at 4.90 g cm⁻³.

---

Verdict on stability: entry Q comes out at the bottom.

---

Entry P
A plane-wave DFT calculation with GGA-PBE was carried out for ZrCr3Sn after structural relaxation.

abc: 4.8129 4.8129 4.8129
angles: 90.00 90.00 90.00
With the nearest neighbours (Å) after each atom.
Space group Pm-3m (No. 221)
Asymmetric unit:
Zr: 0.0000 0.0000 0.0000 (multiplicity 1)  6 Cr 2.41
Cr: 0.0000 0.0000 0.5000 (multiplicity 3)  2 Zr 2.41
Sn: 0.5000 0.5000 0.5000 (multiplicity 1)  12 Cr 3.40

Calculated values
As for the crystal system: cubic. The calculation puts the density at 5.45 g cm⁻³.

---

Entry Q
A plane-wave DFT calculation with GGA-PBE was carried out for ZrCr3Sn after structural relaxation.

abc: 4.8988 4.8988 4.8988
angles: 90.00 90.00 90.00
With the nearest neighbours (Å) after each atom.
Space group Pm-3m (No. 221)
Asymmetric unit:
Zr: 0.0000 0.0000 0.0000 (multiplicity 1)  12 Cr 3.46
Cr: 0.0000 0.5000 0.5000 (multiplicity 3)  2 Sn 2.45
Sn: 0.5000 0.5000 0.5000 (multiplicity 1)  6 Cr 2.45

Calculated values
As for the crystal system: cubic. The calculation puts the density at 5.17 g cm⁻³.

---

Verdict on stability: entry P comes out at the bottom.

---

Entry P
A plane-wave DFT calculation with GGA-PBE was carried out for ZrCrSn2 after structural relaxation.

abc: 6.7965 6.7965 6.7965
angles: 90.00 90.00 90.00
With the nearest neighbours (Å) after each atom.
Space group Fm-3m (No. 225)
Asymmetric unit:
Zr: 0.0000 0.0000 0.0000 (multiplicity 4)  8 Sn 2.94
Cr: 0.0000 0.0000 0.5000 (multiplicity 4)  8 Sn 2.94
Sn: 0.2500 0.2500 0.2500 (multiplicity 8)  4 Cr 2.94, 4 Zr 2.94

Calculated values
As for the crystal system: cubic. The calculation puts the density at 8.05 g cm⁻³.

---

Entry Q
A plane-wave DFT calculation with GGA-PBE was carried out for ZrCrSn2 after structural relaxation.

abc: 4.2992 4.2992 20.2277
angles: 90.00 90.00 90.00
With the nearest neighbours (Å) after each atom.
Space group I-42d (No. 122)
Asymmetric unit:
Zr: 0.0000 0.0000 0.0000 (multiplicity 4)  4 Sn 2.97, 4 Cr 3.04
Cr: 0.0000 0.0000 0.5000 (multiplicity 4)  4 Sn 2.93, 4 Zr 3.04
Sn: 0.2394 0.2500 0.6250 (multiplicity 8)  2 Cr 2.93, 2 Zr 2.97, 4 Sn 2.98-3.11

Calculated values
As for the crystal system: tetragonal. The calculation puts the density at 6.76 g cm⁻³.

---

Verdict on stability: entry Q comes out at the bottom.

---

Entry P
A plane-wave DFT calculation with GGA-PBE was carried out for Sr3Cr5 after structural relaxation.

abc: 7.7315 10.7541 5.1025
angles: 90.00 90.00 90.00
With the nearest neighbours (Å) after each atom.
Space group Cmmm (No. 65)
Asymmetric unit:
Sr: 0.0000 0.0000 0.0000 (multiplicity 2)  8 Cr 3.31-3.47, 4 Sr 3.66
Sr: 0.0000 0.2445 0.5000 (multiplicity 4)  6 Cr 3.14-3.20
Cr: 0.0000 0.5000 0.0000 (multiplicity 2)  8 Cr 2.97-3.31
Cr: 0.1959 0.5000 0.5000 (multiplicity 4)  3 Cr 2.97-3.03, 2 Sr 3.14
Cr: 0.2500 0.2500 0.0000 (multiplicity 4)  6 Sr 3.20-3.31, 2 Cr 3.31

Calculated values
As for the crystal system: orthorhombic. The calculation puts the density at 4.09 g cm⁻³.

---

Entry Q
A plane-wave DFT calculation with GGA-PBE was carried out for Sr3Cr5 after structural relaxation.

abc: 10.8269 10.8269 4.1064
angles: 90.00 90.00 120.00
With the nearest neighbours (Å) after each atom.
Space group P6_3/mcm (No. 193)
Asymmetric unit:
Sr: 0.0000 0.3585 0.2500 (multiplicity 6)  8 Cr 3.29-3.63
Cr: 0.0000 0.1208 0.7500 (multiplicity 6)  6 Cr 2.27-2.43
Cr: 0.3333 0.6667 0.0000 (multiplicity 4)  2 Cr 2.05

Calculated values
As for the crystal system: hexagonal. The calculation puts the density at 4.17 g cm⁻³.

---

Verdict on stability: entry P comes out at the bottom.